Below is a relaxed structure of LiPuWO6, with properties calculated at the PBE with a Hubbard U level.

Values from the calculation:
DOS at the Fermi energy: 1.010 states/eV/atom

a b c (Å): 5.499 5.499 9.412
angles (deg): 90.00 90.00 120.00
Each line ends with the local moment (μB).
Fractional coordinates of all 18 atoms:
Li 0.000 0.000 0.000  0.00
Li 0.000 0.000 0.500  0.00
Pu 0.333 0.667 0.250  3.35
Pu 0.667 0.333 0.750  3.35
W 0.667 0.333 0.250  0.09
W 0.333 0.667 0.750  0.09
O 0.648 0.624 0.138  -0.07
O 0.976 0.352 0.138  -0.07
O 0.352 0.976 0.638  -0.07
O 0.024 0.648 0.862  -0.07
O 0.376 0.352 0.362  -0.07
O 0.976 0.624 0.362  -0.07
O 0.624 0.976 0.862  -0.07
O 0.648 0.024 0.362  -0.07
O 0.024 0.376 0.638  -0.07
O 0.376 0.024 0.138  -0.07
O 0.624 0.648 0.638  -0.07
O 0.352 0.376 0.862  -0.07

Below is a relaxed structure of Li2PuWO6, with properties calculated at the PBE with a Hubbard U level.

Values from the calculation:
DOS at the Fermi energy: 0.364 states/eV/atom

a b c (Å): 4.156 5.895 5.895
angles (deg): 90.00 90.00 90.00
Each line ends with the local moment (μB).
Fractional coordinates of all 10 atoms:
Li 0.859 0.500 0.000  0.00
Li 0.859 0.000 0.500  0.00
Pu 0.693 0.000 0.000  4.08
W 0.661 0.500 0.500  0.10
O 0.738 0.270 0.270  -0.03
O 0.738 0.270 0.730  -0.03
O 0.227 0.500 0.500  0.00
O 0.194 0.000 0.000  -0.15
O 0.738 0.730 0.730  -0.03
O 0.738 0.730 0.270  -0.03

no.,V (Å³/cell),total DFT energy (no corrections) (eV/f.u.),spin magnetization (μB per formula unit)
1,246.51,-73.233,3.00
2,144.41,-77.783,4.00